The following is a DFT calculation (SCAN) of a PBEsol-optimized structure of MgNiSbTe2.

Computed properties:
E_form (uncorrected) (kJ/mol of formula units): 82

a = 5.215 Å, b = 5.215 Å, c = 4.687 Å
α = 90.00°, β = 90.00°, γ = 90.00°
Atoms (fractional coordinates):
Mg 0.000 0.000 0.000
Ni 0.500 0.500 0.500
Sb 0.500 0.500 0.000
Te 0.000 0.500 0.500
Te 0.500 0.000 0.500


The following is a DFT calculation (SCAN) of a PBEsol-optimized structure of Mg2ScNi2.

Computed properties:
DFT formation energy (eV per atom): -0.119

a = 6.306 Å, b = 6.306 Å, c = 6.306 Å
α = 144.87°, β = 144.87°, γ = 50.53°
Atoms (fractional coordinates):
Mg 0.250 0.750 0.500
Mg 0.750 0.250 0.500
Sc 0.000 0.000 0.000
Ni 0.404 0.404 0.000
Ni 0.596 0.596 0.000


Number 1: total moment 0.00 μB per formula unit, VASP energy -26.41 eV per atom. Number 2: total moment 0.00 μB per formula unit, VASP energy -11.43 eV per atom.